Entry 1:
3
Lattice="0.000 3.206 3.206 3.206 0.000 3.206 3.206 3.206 0.000" Properties=species:S:1:pos:R:3 comment="PBE DyPuCo, relaxed" de_polymorph_mev_per_atom=0.0 spacegroup="F-43m (216)" pbc="T T T"
Dy 0.000 0.000 0.000
Pu 3.206 3.206 3.206
Co 1.603 1.603 1.603



Entry 2:
10
Lattice="0.000 3.720 3.720 3.720 0.000 3.720 3.720 3.720 0.000" Properties=species:S:1:pos:R:3 comment="PBE Sr2BeH6Pd, relaxed" spacegroup="Fm-3m (225)" pbc="T T T"
Sr 1.860 1.860 1.860
Sr 5.580 5.580 5.580
Be 0.000 0.000 0.000
H 3.720 3.720 1.715
H 3.720 1.715 3.720
H 5.725 3.720 3.720
H 1.715 3.720 3.720
H 3.720 5.725 3.720
H 3.720 3.720 5.725
Pd 3.720 3.720 3.720



Entry 3:
4
Lattice="0.000 3.398 3.398 3.398 0.000 3.398 3.398 3.398 0.000" Properties=species:S:1:pos:R:3 comment="PBE YNbTlFe, relaxed" de_polymorph_mev_per_atom=0.0 spacegroup="F-43m (216)" pbc="T T T"
Y 0.000 0.000 0.000
Nb 5.098 5.098 5.098
Tl 1.699 1.699 1.699
Fe 3.398 3.398 3.398



Entry 4:
12
Lattice="0.000 4.444 7.680 3.767 0.000 7.680 3.767 4.444 0.000" Properties=species:S:1:pos:R:3 comment="PBE Pm2Zn3Ge, relaxed" spacegroup="Fmmm (69)" pbc="T T T"
Pm 5.685 4.444 7.680
Pm 1.884 2.222 3.840
Pm 5.651 6.666 11.520
Pm 1.849 4.444 7.680
Zn 3.767 4.444 2.549
Zn 3.767 2.229 6.416
Zn 3.767 2.229 8.944
Zn 3.767 6.658 6.416
Zn 3.767 6.658 8.944
Zn 3.767 4.444 12.811
Ge 3.767 4.444 5.128
Ge 3.767 4.444 10.232



Ordered E_tot results: -0.627 -0.265 -0.464 -0.258; unit Ry/atom.